# LiLu2Re (PBE, optimized geometry)
data_LiLu2Re
_cell_length_a 3.401
_cell_length_b 3.401
_cell_length_c 7.787
_cell_angle_alpha 90.00
_cell_angle_beta 90.00
_cell_angle_gamma 90.00
_space_group_name_H-M_alt 'P 1'
_space_group_IT_number 1
_space_group_name_Hall 'P 1'
loop_
_atom_site_label
_atom_site_fract_x
_atom_site_fract_y
_atom_site_fract_z
Li1 0.000 0.000 0.000
Lu1 0.500 0.500 0.294
Lu2 0.500 0.500 0.706
Re1 0.000 0.000 0.500
# raw total energy	-5.8297	eV per atom
# space group	P4/mmm
# D(E_F)	3.4	states/eV/cell
# ΔH_f (0 K)	0.021	eV/atom